(1)
Here is SnGeS3 at its PBEsol-relaxed geometry from Alexandria via LeMat-Bulk. Energies are from SCAN.

The structure in CIF format:
```
data_SnGeS3
_chemical_formula_sum 'Sn4 Ge4 S12'
_cell_length_a 7.2037
_cell_length_b 10.0265
_cell_length_c 6.8199
_cell_angle_alpha 90.00
_cell_angle_beta 105.18
_cell_angle_gamma 90.00
_symmetry_space_group_name_H-M 'P 1 21/c 1'
_symmetry_Int_Tables_number 14
loop_
_symmetry_equiv_pos_as_xyz
'x,y,z'
'-x,-y,-z'
'-x,y+1/2,-z+1/2'
'x,-y+1/2,z+1/2'
loop_
_atom_site_label
_atom_site_type_symbol
_atom_site_fract_x
_atom_site_fract_y
_atom_site_fract_z
Sn1 Sn 0.1270 0.0857 0.2704
Ge1 Ge 0.3217 0.7067 0.4978
S1 S 0.0530 0.6770 0.9211
S2 S 0.2236 0.5009 0.4112
S3 S 0.4827 0.2129 0.6837
```

Calculated values
Distance to the lowest polymorph of the same formula, meV/atom: 0
Raw formation energy, kJ per mole of atoms: -38.7
Fermi-level density of states, states/eV/cell: 0.00
E, eV for the cell shown: -343.60

***

(2)
Here is SnGeS3 at its PBEsol-relaxed geometry from Alexandria via LeMat-Bulk. Energies are from SCAN.

The structure in CIF format:
```
data_SnGeS3
_chemical_formula_sum 'Sn1 Ge1 S3'
_cell_length_a 4.6748
_cell_length_b 4.6748
_cell_length_c 4.6748
_cell_angle_alpha 90.00
_cell_angle_beta 90.00
_cell_angle_gamma 90.00
_symmetry_space_group_name_H-M 'P m -3 m'
_symmetry_Int_Tables_number 221
_symmetry_space_group_name_Hall '-P 4 2 3'
loop_
_atom_site_label
_atom_site_type_symbol
_atom_site_fract_x
_atom_site_fract_y
_atom_site_fract_z
Sn1 Sn 0.0000 0.0000 0.0000
Ge1 Ge 0.5000 0.5000 0.5000
S1 S 0.0000 0.5000 0.5000
```

Calculated values
Distance to the lowest polymorph of the same formula, meV/atom: 519
Raw formation energy, kJ per mole of atoms: 11.3
Fermi-level density of states, states/eV/cell: 2.23
E, eV for the cell shown: -83.31

***

(3)
Here is Sr2GeS4 at its PBEsol-relaxed geometry from Alexandria via LeMat-Bulk. Energies are from SCAN.

The structure in CIF format:
```
data_Sr2GeS4
_chemical_formula_sum 'Sr4 Ge2 S8'
_cell_length_a 6.6623
_cell_length_b 6.6058
_cell_length_c 8.1608
_cell_angle_alpha 90.00
_cell_angle_beta 108.20
_cell_angle_gamma 90.00
_symmetry_space_group_name_H-M 'P 1 21/m 1'
_symmetry_Int_Tables_number 11
loop_
_symmetry_equiv_pos_as_xyz
'x,y,z'
'-x,-y,-z'
'-x,y+1/2,-z'
'x,-y+1/2,z'
loop_
_atom_site_label
_atom_site_type_symbol
_atom_site_fract_x
_atom_site_fract_y
_atom_site_fract_z
Sr1 Sr 0.2233 0.2500 0.0546
Sr2 Sr 0.2642 0.2500 0.5665
Ge1 Ge 0.2258 0.7500 0.8005
S1 S 0.0031 0.0070 0.7399
S2 S 0.4031 0.7500 0.0787
S3 S 0.4176 0.7500 0.6227
```

Calculated values
Raw formation energy, kJ per mole of atoms: -155.4
Fermi-level density of states, states/eV/cell: 0.00
E, eV for the cell shown: -226.84

***

(4)
Here is Sr3GeS at its PBEsol-relaxed geometry from Alexandria via LeMat-Bulk. Energies are from SCAN.

The structure in CIF format:
```
data_Sr3GeS
_chemical_formula_sum 'Sr3 Ge1 S1'
_cell_length_a 5.8278
_cell_length_b 5.8278
_cell_length_c 5.8278
_cell_angle_alpha 90.00
_cell_angle_beta 90.00
_cell_angle_gamma 90.00
_symmetry_space_group_name_H-M 'P m -3 m'
_symmetry_Int_Tables_number 221
_symmetry_space_group_name_Hall '-P 4 2 3'
loop_
_atom_site_label
_atom_site_type_symbol
_atom_site_fract_x
_atom_site_fract_y
_atom_site_fract_z
Sr1 Sr 0.0000 0.0000 0.5000
Ge1 Ge 0.0000 0.0000 0.0000
S1 S 0.5000 0.5000 0.5000
```

Calculated values
Raw formation energy, kJ per mole of atoms: -57.1
Fermi-level density of states, states/eV/cell: 0.32
E, eV for the cell shown: -98.50

***

(5)
Here is SrTlGeS2 at its PBEsol-relaxed geometry from Alexandria via LeMat-Bulk. Energies are from SCAN.

The structure in CIF format:
```
data_SrTlGeS2
_chemical_formula_sum 'Sr1 Tl1 Ge1 S2'
_cell_length_a 5.4528
_cell_length_b 5.4528
_cell_length_c 5.6042
_cell_angle_alpha 90.00
_cell_angle_beta 90.00
_cell_angle_gamma 90.00
_symmetry_space_group_name_H-M 'P 4/m m m'
_symmetry_Int_Tables_number 123
_symmetry_space_group_name_Hall '-P 4 2'
loop_
_atom_site_label
_atom_site_type_symbol
_atom_site_fract_x
_atom_site_fract_y
_atom_site_fract_z
Sr1 Sr 0.0000 0.0000 0.0000
Tl1 Tl 0.5000 0.5000 0.5000
Ge1 Ge 0.0000 0.0000 0.5000
S1 S 0.0000 0.5000 0.0000
```

Calculated values
Raw formation energy, kJ per mole of atoms: 22.7
Fermi-level density of states, states/eV/cell: 4.30
E, eV for the cell shown: -131.80

***

(6)
Here is TcGeS3 at its PBEsol-relaxed geometry from Alexandria via LeMat-Bulk. Energies are from SCAN.

The structure in CIF format:
```
data_TcGeS3
_chemical_formula_sum 'Tc1 Ge1 S3'
_cell_length_a 4.6075
_cell_length_b 4.6075
_cell_length_c 4.6075
_cell_angle_alpha 90.00
_cell_angle_beta 90.00
_cell_angle_gamma 90.00
_symmetry_space_group_name_H-M 'P m -3 m'
_symmetry_Int_Tables_number 221
_symmetry_space_group_name_Hall '-P 4 2 3'
loop_
_atom_site_label
_atom_site_type_symbol
_atom_site_fract_x
_atom_site_fract_y
_atom_site_fract_z
Tc1 Tc 0.0000 0.0000 0.0000
Ge1 Ge 0.5000 0.5000 0.5000
S1 S 0.0000 0.5000 0.5000
```

Calculated values
Raw formation energy, kJ per mole of atoms: 74.8
Fermi-level density of states, states/eV/cell: 2.79
E, eV for the cell shown: -79.15

***

(7)
Here is TcGeS2 at its PBEsol-relaxed geometry from Alexandria via LeMat-Bulk. Energies are from SCAN.

The structure in CIF format:
```
data_TcGeS2
_chemical_formula_sum 'Tc3 Ge3 S6'
_cell_length_a 3.0441
_cell_length_b 3.0441
_cell_length_c 25.6026
_cell_angle_alpha 90.00
_cell_angle_beta 90.00
_cell_angle_gamma 120.00
_symmetry_space_group_name_H-M 'R -3 m'
_symmetry_Int_Tables_number 166
_symmetry_space_group_name_Hall '-R 3 2"'
loop_
_atom_site_label
_atom_site_type_symbol
_atom_site_fract_x
_atom_site_fract_y
_atom_site_fract_z
Tc1 Tc 0.0000 0.0000 0.0000
Ge1 Ge 0.0000 0.0000 0.5000
S1 S 0.0000 0.0000 0.3964
```

Calculated values
Raw formation energy, kJ per mole of atoms: -11.8
Fermi-level density of states, states/eV/cell: 6.51
E, eV for the cell shown: -221.68

***

(8)
Here is GeTeS3 at its PBEsol-relaxed geometry from Alexandria via LeMat-Bulk. Energies are from SCAN.

The structure in CIF format:
```
data_GeTeS3
_chemical_formula_sum 'Ge1 Te1 S3'
_cell_length_a 4.9516
_cell_length_b 4.9516
_cell_length_c 4.9516
_cell_angle_alpha 90.00
_cell_angle_beta 90.00
_cell_angle_gamma 90.00
_symmetry_space_group_name_H-M 'P m -3 m'
_symmetry_Int_Tables_number 221
_symmetry_space_group_name_Hall '-P 4 2 3'
loop_
_atom_site_label
_atom_site_type_symbol
_atom_site_fract_x
_atom_site_fract_y
_atom_site_fract_z
Ge1 Ge 0.0000 0.0000 0.0000
Te1 Te 0.5000 0.5000 0.5000
S1 S 0.0000 0.5000 0.5000
```

Calculated values
Raw formation energy, kJ per mole of atoms: 57.5
Fermi-level density of states, states/eV/cell: 1.06
E, eV for the cell shown: -82.24